[1]
## ZrGaTc (GGA-PBE)

Data for crystalline ZrGaTc at its relaxed geometry.

Computed properties:
energy above the most stable polymorph in this dataset = 547 meV per atom
total energy = -7.24 eV/atom

```
ZrGaTc
1.0
0.0000 3.1097 3.1097
3.1097 0.0000 3.1097
3.1097 3.1097 0.0000
Zr Ga Tc
1 1 1
Direct
0.0000 0.0000 0.0000 Zr
0.5000 0.5000 0.5000 Ga
0.7500 0.7500 0.7500 Tc
```



[2]
## Zr2GaTc (GGA-PBE)

Data for crystalline Zr2GaTc at its relaxed geometry.

Computed properties:
total energy = -7.84 eV/atom

```
Zr2GaTc
1.0
0.0000 3.2975 3.2975
3.2975 0.0000 3.2975
3.2975 3.2975 0.0000
Zr Ga Tc
2 1 1
Direct
0.0000 0.0000 0.0000 Zr
0.2500 0.2500 0.2500 Zr
0.5000 0.5000 0.5000 Ga
0.7500 0.7500 0.7500 Tc
```



[3]
## ZrGaTc (GGA-PBE)

Data for crystalline ZrGaTc at its relaxed geometry.

Computed properties:
energy above the most stable polymorph in this dataset = 0 meV per atom
total energy = -7.79 eV/atom

```
ZrGaTc
1.0
-2.6203 2.6653 3.6670
2.6203 -2.6653 3.6670
2.6203 2.6653 -3.6670
Zr Ga Tc
2 2 2
Direct
0.3672 0.1172 0.2500 Zr
0.6328 0.8828 0.7500 Zr
0.0000 0.5000 0.5000 Ga
0.5000 0.5000 0.0000 Ga
0.0000 0.0000 0.5000 Tc
0.0000 0.5000 0.0000 Tc
```



[4]
## ZrGa2Tc2 (GGA-PBE)

Data for crystalline ZrGa2Tc2 at its relaxed geometry.

Computed properties:
total energy = -7.18 eV/atom

```
ZrGa2Tc2
1.0
-1.9344 1.9344 5.6290
1.9344 -1.9344 5.6290
1.9344 1.9344 -5.6290
Zr Ga Tc
1 2 2
Direct
0.0000 0.0000 0.0000 Zr
0.3959 0.3959 0.0000 Ga
0.6041 0.6041 0.0000 Ga
0.2500 0.7500 0.5000 Tc
0.7500 0.2500 0.5000 Tc
```